First-principles (PBE) data for crystalline Ce2HoCo9 at its relaxed geometry, as listed in Alexandria via LeMat-Bulk.

## Properties
E_tot (eV/atom): -6.89

Cell lengths 4.898, 4.898, 8.743 Å; angles 73.73, 73.73, 60.00 degrees
Last column: magnetic moment on the atom in μB.
Positions (direct):
Ce1 0.860 0.860 0.419  -0.70
Ce2 0.140 0.140 0.581  -0.70
Ho1 0.000 0.000 0.000  -0.27
Co1 0.667 0.667 0.998  1.40
Co2 0.333 0.333 0.002  1.40
Co3 0.500 0.500 0.500  0.77
Co4 0.421 0.421 0.239  1.11
Co5 0.918 0.421 0.239  1.11
Co6 0.421 0.918 0.239  1.11
Co7 0.579 0.579 0.761  1.11
Co8 0.579 0.082 0.761  1.11
Co9 0.082 0.579 0.761  1.11



First-principles (PBE) data for crystalline CaNd7Er2 at its relaxed geometry, as listed in Alexandria via LeMat-Bulk.

## Properties
E_tot (eV/atom): -4.41

Cell lengths 6.338, 9.692, 9.701 Å; angles 141.97, 108.86, 77.59 degrees
Positions (direct):
Ca1 0.000 0.000 0.000
Nd1 0.000 0.606 0.401
Nd2 0.000 0.394 0.599
Nd3 0.500 0.691 0.794
Nd4 0.500 0.309 0.206
Nd5 0.003 0.798 0.203
Nd6 0.997 0.202 0.797
Nd7 0.500 0.500 0.000
Er1 0.493 0.901 0.596
Er2 0.507 0.099 0.404